No. 1
# LuBe4Rh PBE-GGA relaxed
# Calculated density (g cm⁻³): 7.5
data_LuBe4Rh
_chemical_formula_sum 'Lu4 Be16 Rh4'
_symmetry_space_group_name_H-M 'F -4 3 m'
_symmetry_Int_Tables_number 216
_symmetry_space_group_name_Hall 'F -4 2 3'
_cell_length_a 6.520
_cell_length_b 6.520
_cell_length_c 6.520
_cell_angle_alpha 90.00
_cell_angle_beta 90.00
_cell_angle_gamma 90.00
loop_
_atom_site_label
_atom_site_type_symbol
_atom_site_fract_x
_atom_site_fract_y
_atom_site_fract_z
_atom_site_occupancy
Lu1 Lu 0.000 0.000 0.000 1
Be1 Be 0.122 0.122 0.378 1
Rh1 Rh 0.250 0.250 0.750 1

No. 2
# Tl2NiHgBi PBE-GGA relaxed
# DOS at the Fermi energy (states/eV per cell): 3.24
# Calculated density (g cm⁻³): 10.4
data_Tl2NiHgBi
_chemical_formula_sum 'Tl2 Ni1 Hg1 Bi1'
_symmetry_space_group_name_H-M 'P 4/m m m'
_symmetry_Int_Tables_number 123
_symmetry_space_group_name_Hall '-P 4 2'
_cell_length_a 5.167
_cell_length_b 5.167
_cell_length_c 5.237
_cell_angle_alpha 90.00
_cell_angle_beta 90.00
_cell_angle_gamma 90.00
loop_
_atom_site_label
_atom_site_type_symbol
_atom_site_fract_x
_atom_site_fract_y
_atom_site_fract_z
_atom_site_occupancy
Tl1 Tl 0.000 0.500 0.000 1
Ni1 Ni 0.000 0.000 0.000 1
Hg1 Hg 0.500 0.500 0.500 1
Bi1 Bi 0.000 0.000 0.500 1

No. 3
# SrSn6Ir PBE-GGA relaxed
# DOS at the Fermi energy (states/eV per cell): 5.75
# Calculated density (g cm⁻³): 7.7
data_SrSn6Ir
_chemical_formula_sum 'Sr2 Sn12 Ir2'
_symmetry_space_group_name_H-M 'A m m 2'
_symmetry_Int_Tables_number 38
_symmetry_space_group_name_Hall 'A 2 -2'
_cell_length_a 4.334
_cell_length_b 8.822
_cell_length_c 11.233
_cell_angle_alpha 90.00
_cell_angle_beta 90.00
_cell_angle_gamma 90.00
loop_
_atom_site_label
_atom_site_type_symbol
_atom_site_fract_x
_atom_site_fract_y
_atom_site_fract_z
_atom_site_occupancy
Sr1 Sr 0.000 0.000 0.000 1
Sn1 Sn 0.000 0.242 0.255 1
Sn2 Sn 0.500 0.000 0.246 1
Sn3 Sn 0.500 0.000 0.772 1
Sn4 Sn 0.500 0.172 0.507 1
Ir1 Ir 0.000 0.000 0.616 1

No. 4
# PuPaAlO6 PBE-GGA relaxed
# DOS at the Fermi energy (states/eV per cell): 2.58
# Calculated density (g cm⁻³): 8.4
# Formation energy without anion corrections (eV/atom): -3.097
data_PuPaAlO6
_chemical_formula_sum 'Pu1 Pa1 Al1 O6'
_symmetry_space_group_name_H-M 'P 3 1 2'
_symmetry_Int_Tables_number 149
_symmetry_space_group_name_Hall 'P 3 2'
_cell_length_a 5.3163
_cell_length_b 5.3163
_cell_length_c 4.8270
_cell_angle_alpha 90.00
_cell_angle_beta 90.00
_cell_angle_gamma 120.00
loop_
_atom_site_label
_atom_site_type_symbol
_atom_site_fract_x
_atom_site_fract_y
_atom_site_fract_z
_atom_site_occupancy
Pu1 Pu 0.0000 0.0000 0.0000 1
Pa1 Pa 0.6667 0.3333 0.5000 1
Al1 Al 0.3333 0.6667 0.0000 1
O1 O 0.0222 0.3693 0.2310 1

No. 5
# Ti6Ni8Pt PBE-GGA relaxed
# DOS at the Fermi energy (states/eV per cell): 40.18
# Calculated density (g cm⁻³): 7.6
data_Ti6Ni8Pt
_chemical_formula_sum 'Ti18 Ni24 Pt3'
_symmetry_space_group_name_H-M 'R -3'
_symmetry_Int_Tables_number 148
_symmetry_space_group_name_Hall '-R 3'
_cell_length_a 6.8882
_cell_length_b 6.8882
_cell_length_c 15.2404
_cell_angle_alpha 90.00
_cell_angle_beta 90.00
_cell_angle_gamma 120.00
loop_
_atom_site_label
_atom_site_type_symbol
_atom_site_fract_x
_atom_site_fract_y
_atom_site_fract_z
_atom_site_occupancy
Ti1 Ti 0.0055 0.2677 0.3896 1
Ni1 Ni 0.0000 0.0000 0.2597 1
Ni2 Ni 0.0078 0.2821 0.8802 1
Pt1 Pt 0.0000 0.0000 0.0000 1

No. 6
# CdH3Au PBE-GGA relaxed
# DOS at the Fermi energy (states/eV per cell): 1.89
# Calculated density (g cm⁻³): 9.2
# E above lowest polymorph (eV per atom): 0.000
data_CdH3Au
_chemical_formula_sum 'Cd1 H3 Au1'
_symmetry_space_group_name_H-M 'P m -3 m'
_symmetry_Int_Tables_number 221
_symmetry_space_group_name_Hall '-P 4 2 3'
_cell_length_a 3.828
_cell_length_b 3.828
_cell_length_c 3.828
_cell_angle_alpha 90.00
_cell_angle_beta 90.00
_cell_angle_gamma 90.00
loop_
_atom_site_label
_atom_site_type_symbol
_atom_site_fract_x
_atom_site_fract_y
_atom_site_fract_z
_atom_site_occupancy
Cd1 Cd 0.000 0.000 0.000 1
H1 H 0.000 0.500 0.500 1
Au1 Au 0.500 0.500 0.500 1

No. 7
# Sm5SbS5 PBE-GGA relaxed
# DOS at the Fermi energy (states/eV per cell): 6.66
# Calculated density (g cm⁻³): 5.8
# Formation energy without anion corrections (eV/atom): -1.828
data_Sm5SbS5
_chemical_formula_sum 'Sm10 Sb2 S10'
_symmetry_space_group_name_H-M 'C 1 2/m 1'
_symmetry_Int_Tables_number 12
_symmetry_space_group_name_Hall '-C 2y'
_cell_length_a 12.898
_cell_length_b 5.825
_cell_length_c 8.249
_cell_angle_alpha 90.00
_cell_angle_beta 108.48
_cell_angle_gamma 90.00
loop_
_atom_site_label
_atom_site_type_symbol
_atom_site_fract_x
_atom_site_fract_y
_atom_site_fract_z
_atom_site_occupancy
Sm1 Sm 0.000 0.000 0.000 1
Sm2 Sm 0.167 0.500 0.818 1
Sm3 Sm 0.171 0.500 0.348 1
Sb1 Sb 0.000 0.500 0.000 1
S1 S 0.000 0.500 0.500 1
S2 S 0.166 0.000 0.332 1
S3 S 0.174 0.000 0.843 1

No. 8
# Sc2MnB2Ir5 PBE-GGA relaxed
# DOS at the Fermi energy (states/eV per cell): 7.63
# Calculated density (g cm⁻³): 13.7
data_Sc2MnB2Ir5
_chemical_formula_sum 'Sc4 Mn2 B4 Ir10'
_symmetry_space_group_name_H-M 'P 4/m b m'
_symmetry_Int_Tables_number 127
_symmetry_space_group_name_Hall '-P 4 2ab'
_cell_length_a 9.425
_cell_length_b 9.425
_cell_length_c 3.068
_cell_angle_alpha 90.00
_cell_angle_beta 90.00
_cell_angle_gamma 90.00
loop_
_atom_site_label
_atom_site_type_symbol
_atom_site_fract_x
_atom_site_fract_y
_atom_site_fract_z
_atom_site_occupancy
Sc1 Sc 0.177 0.323 0.000 1
Mn1 Mn 0.000 0.000 0.000 1
B1 B 0.124 0.624 0.000 1
Ir1 Ir 0.000 0.500 0.500 1
Ir2 Ir 0.070 0.783 0.500 1

Number 1: raw total energy -117.73 eV/cell. Number 2: raw total energy -14.17 eV/cell. Number 3: raw total energy -72.37 eV/cell. Number 4: raw total energy -85.20 eV/cell. Number 5: raw total energy -310.47 eV/cell. Number 6: raw total energy -12.10 eV/cell. Number 7: raw total energy -136.92 eV/cell. Number 8: raw total energy -173.73 eV/cell.